A geometry-optimized TbCoPO structure. Source: OQMD via LeMat-Bulk, functional PBE with a Hubbard U.

Calculated values
- Crystal system: tetragonal
- Calculated density: 7.60 Mg/m³
- Magnetization: 1.24 μB per cell
- E_tot: -54.462 eV/cell

a = 3.8610 Å, b = 3.8610 Å, c = 7.7606 Å
α = 90.00°, β = 90.00°, γ = 90.00°
Sites, in units of the cell vectors:
Tb (0.0000, 0.5000, 0.1472)
Tb (0.5000, 0.0000, 0.8528)
O (0.0000, 0.0000, 0.0000)
O (0.5000, 0.5000, 0.0000)
P (0.5000, 0.0000, 0.3656)
P (0.0000, 0.5000, 0.6344)
Co (0.0000, 0.0000, 0.5000)
Co (0.5000, 0.5000, 0.5000)